A plane-wave DFT calculation with PBE-GGA was carried out for a geometry-optimized Ca2FeSe structure.

Computed properties:
- Formation energy (no corrections): -0.1448 eV/atom

Unit cell a=6.6062 b=6.6062 c=6.6062 alpha=107.82 beta=107.82 gamma=112.82
With the nearest neighbours (Å) after each atom.
Fractional coordinates of all 8 atoms:
Ca 0.1125 0.6250 0.9875  2 Se 2.83, 2 Fe 2.97
Ca 0.3750 0.3625 0.4875  2 Se 2.83, 2 Fe 2.97
Ca 0.6375 0.1250 0.0125  2 Se 2.83, 2 Fe 2.97
Ca 0.8750 0.8875 0.5125  2 Se 2.83, 2 Fe 2.97
Fe 0.2500 0.7500 0.5000  4 Ca 2.97
Fe 0.5000 0.5000 0.0000  4 Ca 2.97
Se 0.0000 0.0000 0.0000  4 Ca 2.83
Se 0.7500 0.2500 0.5000  4 Ca 2.83


A plane-wave DFT calculation with PBE-GGA was carried out for a geometry-optimized BaBe2Re structure.

Computed properties:
- Formation enthalpy at 0 K: 1.022 eV/atom

Unit cell a=5.5726 b=5.5726 c=5.5726 alpha=145.80 beta=117.25 gamma=73.44
With the nearest neighbours (Å) after each atom.
Fractional coordinates of all 4 atoms:
Ba 0.0000 0.0000 0.0000  2 Ba 3.28, 8 Be 3.30-3.33, 4 Re 3.33
Be 0.3250 0.8250 0.5000  2 Re 2.26
Be 0.6750 0.1750 0.5000  2 Re 2.26
Re 0.5000 0.5000 0.0000  4 Be 2.26


A plane-wave DFT calculation with PBE-GGA was carried out for a geometry-optimized Cs2RbIr structure.

Computed properties:
- Formation enthalpy at 0 K: 0.829 eV/atom

Unit cell a=9.3481 b=9.3481 c=9.3481 alpha=120.23 beta=120.23 gamma=89.60
With the nearest neighbours (Å) after each atom.
Fractional coordinates of all 8 atoms:
Cs 0.3750 0.1259 0.2509  2 Ir 2.86
Cs 0.8741 0.1250 0.2491  2 Ir 2.86
Cs 0.8750 0.1241 0.7491  2 Ir 2.86
Cs 0.8759 0.6250 0.7509  2 Ir 2.86
Rb 0.2500 0.7500 0.5000  12 Cs 5.46-5.49, 4 Rb 5.72, 4 Ir 5.72
Rb 0.5000 0.5000 0.0000  12 Cs 5.46-5.49, 4 Ir 5.72, 4 Rb 5.72
Ir 0.0000 0.0000 0.0000  4 Cs 2.86
Ir 0.7500 0.2500 0.5000  4 Cs 2.86


A plane-wave DFT calculation with PBE-GGA was carried out for a geometry-optimized Mn3Ag structure.

Computed properties:
- Formation enthalpy at 0 K: 0.557 eV/atom

Unit cell a=5.0127 b=5.0127 c=5.0127 alpha=90.00 beta=90.00 gamma=90.00
With the nearest neighbours (Å) after each atom.
Fractional coordinates of all 8 atoms:
Mn 0.0000 0.2500 0.5000  2 Mn 2.51, 4 Ag 2.80
Mn 0.0000 0.7500 0.5000  2 Mn 2.51, 4 Ag 2.80
Mn 0.2500 0.5000 0.0000  2 Mn 2.51, 4 Ag 2.80
Mn 0.5000 0.0000 0.2500  2 Mn 2.51, 4 Ag 2.80
Mn 0.5000 0.0000 0.7500  2 Mn 2.51, 4 Ag 2.80
Mn 0.7500 0.5000 0.0000  2 Mn 2.51, 4 Ag 2.80
Ag 0.0000 0.0000 0.0000  12 Mn 2.80
Ag 0.5000 0.5000 0.5000  12 Mn 2.80


A plane-wave DFT calculation with PBE-GGA was carried out for a geometry-optimized Th2NpPdN5 structure.

Computed properties:
- Formation energy (no corrections): -0.9600 eV/atom

Unit cell a=6.9234 b=6.9234 c=10.8886 alpha=90.00 beta=90.00 gamma=150.41
With the nearest neighbours (Å) after each atom.
Fractional coordinates of all 18 atoms:
Th 0.0975 0.9025 0.5000  4 N 2.37-2.49
Th 0.1434 0.8566 0.1149  8 N 2.48-2.77
Th 0.8566 0.1434 0.6149  8 N 2.48-2.77
Th 0.9025 0.0975 0.0000  4 N 2.37-2.49
Np 0.2040 0.7960 0.8280  2 N 2.01-2.12
Np 0.7960 0.2040 0.3280  2 N 2.01-2.12
Pd 0.4773 0.5227 0.2614  3 N 2.06-2.22
Pd 0.5227 0.4773 0.7614  3 N 2.06-2.22
N 0.0637 0.9363 0.8927  1 Np 2.01
N 0.2733 0.7267 0.4719  3 Th 2.37-2.61, 2 Np 2.38
N 0.3250 0.6750 0.1904  1 Pd 2.18, 2 Np 2.35
N 0.3620 0.6380 0.8100  1 Np 2.12, 1 Pd 2.22
N 0.4830 0.5170 0.5786  1 Pd 2.06
N 0.5170 0.4830 0.0786  1 Pd 2.06
N 0.6380 0.3620 0.3100  1 Np 2.12, 1 Pd 2.22
N 0.6750 0.3250 0.6904  1 Pd 2.18, 2 Np 2.35
N 0.7267 0.2733 0.9719  3 Th 2.37-2.61, 2 Np 2.38
N 0.9363 0.0637 0.3927  1 Np 2.01


A plane-wave DFT calculation with PBE-GGA was carried out for a geometry-optimized CsCdHgI structure.

Computed properties:
- Formation energy (no corrections): -0.5606 eV/atom

Unit cell a=6.3228 b=6.3228 c=6.3228 alpha=60.00 beta=60.00 gamma=60.00
With the nearest neighbours (Å) after each atom.
Fractional coordinates of all 4 atoms:
Cs 0.0000 0.0000 0.0000  4 Hg 3.87, 4 I 3.87
Cd 0.5000 0.5000 0.5000  4 Hg 3.87, 4 I 3.87
Hg 0.2500 0.2500 0.2500  4 Cd 3.87, 4 Cs 3.87
I 0.7500 0.7500 0.7500  4 Cd 3.87, 4 Cs 3.87


Number 1: calculated volume 27.670 Å³/atom, DOS at the Fermi energy 7.450 states/eV/f.u.. Number 2: calculated volume 21.233 Å³/atom, DOS at the Fermi energy 3.207 states/eV/f.u.. Number 3: calculated volume 71.951 Å³/atom, DOS at the Fermi energy 1.891 states/eV/f.u.. Number 4: calculated volume 15.745 Å³/atom, DOS at the Fermi energy 4.658 states/eV/f.u.. Number 5: calculated volume 14.319 Å³/atom, DOS at the Fermi energy 6.404 states/eV/f.u.. Number 6: calculated volume 44.685 Å³/atom, DOS at the Fermi energy 0.000 states/eV/f.u..